# 1
## PmScBeNi (PBE)

Data for crystalline PmScBeNi at its relaxed geometry.

abc: 4.729 4.729 4.729
angles: 60.00 60.00 60.00
Fractional coordinates of all 4 atoms:
Pm 0.000 0.000 0.000
Ni 0.250 0.250 0.250
Be 0.750 0.750 0.750
Sc 0.500 0.500 0.500

Calculated values
Total moment   0.00 Bohr magnetons per cell
V   74.8 Å³/cell
DFT formation energy   -8 kJ/mol of atoms



# 2
## PmBe2SiNi4 (PBE)

Data for crystalline PmBe2SiNi4 at its relaxed geometry.

abc: 3.807 3.807 8.524
angles: 77.10 77.10 60.00
Fractional coordinates of all 8 atoms:
Ni 0.866 0.866 0.402
Ni 0.134 0.134 0.598
Ni 0.590 0.590 0.229
Ni 0.410 0.410 0.771
Pm 0.000 0.000 0.000
Be 0.233 0.233 0.301
Be 0.767 0.767 0.699
Si 0.500 0.500 0.500

Calculated values
Total moment   0.00 Bohr magnetons per cell
Energy relative to the elements, uncorrected   -400 meV/atom
V   103.4 Å³/cell



# 3
## Pm2Be4Si3Ni (PBE)

Data for crystalline Pm2Be4Si3Ni at its relaxed geometry.

abc: 3.876 3.876 9.759
angles: 90.00 90.00 90.00
Fractional coordinates of all 10 atoms:
Be 0.500 0.000 0.626
Be 0.500 0.500 0.000
Be 0.000 0.000 0.000
Be 0.000 0.500 0.374
Si 0.000 0.500 0.133
Si 0.500 0.000 0.867
Si 0.000 0.000 0.500
Pm 0.500 0.000 0.249
Pm 0.000 0.500 0.751
Ni 0.500 0.500 0.500

Calculated values
Total moment   0.00 Bohr magnetons per cell
Energy relative to the elements, uncorrected   -457 meV/atom
V   146.6 Å³/cell



# 4
## Pm2Be3Si4Ni (PBE)

Data for crystalline Pm2Be3Si4Ni at its relaxed geometry.

abc: 3.952 3.952 9.680
angles: 90.00 90.00 90.00
Fractional coordinates of all 10 atoms:
Be 0.000 0.000 0.500
Be 0.000 0.500 0.133
Be 0.500 0.000 0.867
Si 0.500 0.500 0.000
Si 0.500 0.000 0.627
Si 0.000 0.000 0.000
Si 0.000 0.500 0.373
Pm 0.000 0.500 0.749
Pm 0.500 0.000 0.251
Ni 0.500 0.500 0.500

Calculated values
Total moment   0.00 Bohr magnetons per cell
Energy relative to the elements, uncorrected   -508 meV/atom
V   151.2 Å³/cell



# 5
## PmBeSi2Ni4 (PBE)

Data for crystalline PmBeSi2Ni4 at its relaxed geometry.

abc: 3.891 3.891 8.464
angles: 76.71 76.71 60.00
Fractional coordinates of all 8 atoms:
Ni 0.413 0.413 0.762
Ni 0.587 0.587 0.238
Ni 0.863 0.863 0.412
Ni 0.137 0.137 0.588
Be 0.500 0.500 0.500
Pm 0.000 0.000 0.000
Si 0.236 0.236 0.291
Si 0.764 0.764 0.709

Calculated values
Total moment   0.00 Bohr magnetons per cell
Energy relative to the elements, uncorrected   -600 meV/atom
V   107.0 Å³/cell



# 6
## Pm2BeSi3Ni4 (PBE)

Data for crystalline Pm2BeSi3Ni4 at its relaxed geometry.

abc: 4.010 4.010 9.464
angles: 90.00 90.00 90.00
Fractional coordinates of all 10 atoms:
Pm 0.000 0.500 0.745
Pm 0.500 0.000 0.255
Ni 0.500 0.500 0.000
Ni 0.000 0.000 0.000
Ni 0.000 0.500 0.379
Ni 0.500 0.000 0.621
Si 0.000 0.500 0.130
Si 0.000 0.000 0.500
Si 0.500 0.000 0.870
Be 0.500 0.500 0.500

Calculated values
Total moment   0.00 Bohr magnetons per cell
Energy relative to the elements, uncorrected   -705 meV/atom
V   152.2 Å³/cell



# 7
## TbPmBeNi (PBE)

Data for crystalline TbPmBeNi at its relaxed geometry.

abc: 4.883 4.883 4.883
angles: 60.00 60.00 60.00
Fractional coordinates of all 4 atoms:
Pm 0.500 0.500 0.500
Tb 0.000 0.000 0.000
Ni 0.250 0.250 0.250
Be 0.750 0.750 0.750

Calculated values
Total moment   0.00 Bohr magnetons per cell
V   82.3 Å³/cell
DFT formation energy   -6 kJ/mol of atoms



# 8
## PmYBeNi (PBE)

Data for crystalline PmYBeNi at its relaxed geometry.

abc: 4.880 4.880 4.880
angles: 60.00 60.00 60.00
Fractional coordinates of all 4 atoms:
Ni 0.000 0.000 0.000
Be 0.500 0.500 0.500
Pm 0.750 0.750 0.750
Y 0.250 0.250 0.250

Calculated values
Total moment   0.00 Bohr magnetons per cell
V   82.2 Å³/cell
DFT formation energy   -7 kJ/mol of atoms



# 9
## Pm2BeZn12Ni3 (PBE)

Data for crystalline Pm2BeZn12Ni3 at its relaxed geometry.

abc: 9.544 9.544 9.544
angles: 39.13 39.13 39.13
Fractional coordinates of all 18 atoms:
Zn 0.930 0.347 0.930
Zn 0.186 0.586 0.586
Zn 0.586 0.186 0.586
Zn 0.814 0.414 0.414
Zn 0.347 0.930 0.930
Zn 0.930 0.930 0.347
Zn 0.653 0.070 0.070
Zn 0.070 0.653 0.070
Zn 0.414 0.814 0.414
Zn 0.414 0.414 0.814
Zn 0.586 0.586 0.186
Zn 0.070 0.070 0.653
Ni 0.500 0.000 0.000
Ni 0.000 0.500 0.000
Ni 0.000 0.000 0.500
Be 0.000 0.000 0.000
Pm 0.650 0.650 0.650
Pm 0.350 0.350 0.350

Calculated values
Total moment   0.00 Bohr magnetons per cell
V   311.5 Å³/cell
DFT formation energy   6 kJ/mol of atoms



# 10
## Pr3BeNi3 (PBE)

Data for crystalline Pr3BeNi3 at its relaxed geometry.

abc: 3.878 5.610 13.783
angles: 90.00 90.00 110.22
Fractional coordinates of all 14 atoms:
Pr 0.770 0.541 0.395
Pr 0.491 0.982 0.250
Pr 0.230 0.459 0.895
Pr 0.770 0.541 0.105
Pr 0.509 0.018 0.750
Pr 0.230 0.459 0.605
Ni 0.810 0.619 0.750
Ni 0.057 0.114 0.079
Ni 0.190 0.381 0.250
Ni 0.057 0.114 0.421
Ni 0.943 0.886 0.921
Ni 0.943 0.886 0.579
Be 0.500 0.000 0.000
Be 0.500 0.000 0.500

Calculated values
Total moment   0.00 Bohr magnetons per cell
V   281.4 Å³/cell
DFT formation energy   -24 kJ/mol of atoms



# 11
## Pr2BeNi16 (PBE)

Data for crystalline Pr2BeNi16 at its relaxed geometry.

abc: 6.298 6.298 6.298
angles: 83.11 83.11 83.11
Fractional coordinates of all 19 atoms:
Ni 0.660 0.149 0.660
Ni 0.711 0.289 0.000
Ni 0.660 0.660 0.149
Ni 0.342 0.849 0.342
Ni 0.149 0.660 0.660
Ni 0.342 0.342 0.849
Ni 0.000 0.711 0.289
Ni 0.504 0.997 0.997
Ni 0.289 0.711 0.000
Ni 0.997 0.997 0.504
Ni 0.091 0.091 0.091
Ni 0.289 0.000 0.711
Ni 0.849 0.342 0.342
Ni 0.000 0.289 0.711
Ni 0.997 0.504 0.997
Ni 0.711 0.000 0.289
Pr 0.658 0.658 0.658
Pr 0.340 0.340 0.340
Be 0.911 0.911 0.911

Calculated values
Total moment   5.35 Bohr magnetons per cell
V   244.8 Å³/cell
DFT formation energy   -17 kJ/mol of atoms



# 12
## PrBe3Ni (PBE)

Data for crystalline PrBe3Ni at its relaxed geometry.

abc: 4.181 4.181 4.181
angles: 90.00 90.00 90.00
Fractional coordinates of all 5 atoms:
Be 0.000 0.000 0.500
Be 0.000 0.500 0.000
Be 0.500 0.000 0.000
Ni 0.000 0.000 0.000
Pr 0.500 0.500 0.500

Calculated values
Total moment   0.00 Bohr magnetons per cell
V   73.1 Å³/cell
DFT formation energy   -7 kJ/mol of atoms



# 13
## PrBe2Ni5 (PBE)

Data for crystalline PrBe2Ni5 at its relaxed geometry.

abc: 3.599 5.755 5.755
angles: 65.89 71.78 71.78
Fractional coordinates of all 8 atoms:
Be 0.770 0.730 0.730
Be 0.230 0.270 0.270
Ni 0.653 0.537 0.157
Ni 0.653 0.157 0.537
Ni 0.347 0.463 0.843
Ni 0.000 0.500 0.500
Ni 0.347 0.843 0.463
Pr 0.000 0.000 0.000

Calculated values
Total moment   0.00 Bohr magnetons per cell
V   101.0 Å³/cell
DFT formation energy   -27 kJ/mol of atoms



# 14
## PrBe2Ni (PBE)

Data for crystalline PrBe2Ni at its relaxed geometry.

abc: 3.792 3.792 5.532
angles: 69.96 69.96 60.00
Fractional coordinates of all 4 atoms:
Ni 0.500 0.500 0.500
Pr 0.000 0.000 0.000
Be 0.812 0.812 0.565
Be 0.188 0.188 0.435

Calculated values
Total moment   0.00 Bohr magnetons per cell
V   63.3 Å³/cell
DFT formation energy   -19 kJ/mol of atoms



# 15
## PrBeNi3 (PBE)

Data for crystalline PrBeNi3 at its relaxed geometry.

abc: 4.185 4.185 4.185
angles: 90.00 90.00 90.00
Fractional coordinates of all 5 atoms:
Ni 0.000 0.500 0.000
Ni 0.500 0.000 0.000
Ni 0.000 0.000 0.500
Pr 0.500 0.500 0.500
Be 0.000 0.000 0.000

Calculated values
Total moment   0.00 Bohr magnetons per cell
V   73.3 Å³/cell
DFT formation energy   -14 kJ/mol of atoms



# 16
## PrBeNi (PBE)

Data for crystalline PrBeNi at its relaxed geometry.

abc: 3.964 3.995 3.995
angles: 120.00 90.00 90.00
Fractional coordinates of all 3 atoms:
Ni 0.167 0.000 0.000
Pr 0.667 0.333 0.667
Be 0.167 0.667 0.333

Calculated values
Total moment   0.00 Bohr magnetons per cell
V   54.8 Å³/cell
DFT formation energy   -15 kJ/mol of atoms



# 17
## Pr2BeNiPt6 (PBE)

Data for crystalline Pr2BeNiPt6 at its relaxed geometry.

abc: 5.771 7.265 7.266
angles: 46.79 66.61 90.00
Fractional coordinates of all 10 atoms:
Pt 0.259 0.741 0.956
Pt 0.741 0.784 0.518
Pt 0.216 0.259 0.044
Pt 0.784 0.741 0.956
Pt 0.741 0.259 0.044
Pt 0.259 0.216 0.482
Ni 0.000 0.000 0.000
Pr 0.288 0.712 0.424
Pr 0.712 0.288 0.576
Be 0.500 0.500 0.000

Calculated values
Total moment   0.00 Bohr magnetons per cell
V   186.2 Å³/cell
DFT formation energy   -67 kJ/mol of atoms



# 18
## PrBe4NiPt2 (PBE)

Data for crystalline PrBe4NiPt2 at its relaxed geometry.

abc: 3.896 3.896 8.633
angles: 76.96 76.96 60.00
Fractional coordinates of all 8 atoms:
Pt 0.769 0.769 0.693
Pt 0.231 0.231 0.307
Be 0.134 0.134 0.597
Be 0.413 0.413 0.760
Be 0.866 0.866 0.403
Be 0.587 0.587 0.240
Pr 0.000 0.000 0.000
Ni 0.500 0.500 0.500

Calculated values
Total moment   0.00 Bohr magnetons per cell
V   109.5 Å³/cell
DFT formation energy   -60 kJ/mol of atoms



# 19
## Pr2BeSiNi6 (PBE)

Data for crystalline Pr2BeSiNi6 at its relaxed geometry.

abc: 6.048 6.081 6.103
angles: 58.65 61.56 90.49
Fractional coordinates of all 10 atoms:
Ni 0.253 0.343 0.492
Ni 0.253 0.746 0.092
Ni 0.747 0.657 0.508
Ni 0.648 0.746 0.099
Ni 0.352 0.254 0.901
Ni 0.747 0.254 0.908
Be 0.500 0.500 0.000
Si 0.000 0.000 0.000
Pr 0.783 0.217 0.434
Pr 0.217 0.783 0.566

Calculated values
Total moment   0.00 Bohr magnetons per cell
Energy relative to the elements, uncorrected   -327 meV/atom
V   158.4 Å³/cell



# 20
## PrBeSi2Ni (PBE)

Data for crystalline PrBeSi2Ni at its relaxed geometry.

abc: 3.991 3.991 5.679
angles: 110.58 110.58 90.00
Fractional coordinates of all 5 atoms:
Pr 0.000 0.000 0.000
Si 0.373 0.373 0.745
Si 0.627 0.627 0.255
Ni 0.250 0.750 0.500
Be 0.750 0.250 0.500

Calculated values
Total moment   0.00 Bohr magnetons per cell
Energy relative to the elements, uncorrected   -650 meV/atom
V   78.5 Å³/cell



# 21
## Be2NiPt (PBE)

Data for crystalline Be2NiPt at its relaxed geometry.

abc: 4.712 4.712 4.712
angles: 146.21 132.47 59.58
Fractional coordinates of all 4 atoms:
Be 0.749 0.249 0.500
Be 0.993 0.993 0.000
Ni 0.516 0.516 0.000
Pt 0.242 0.742 0.500

Calculated values
Total moment   0.00 Bohr magnetons per cell
V   42.5 Å³/cell
DFT formation energy   -43 kJ/mol of atoms



# 22
## Be2NiPt (PBE)

Data for crystalline Be2NiPt at its relaxed geometry.

abc: 6.106 3.817 2.854
angles: 90.13 62.03 128.80
Fractional coordinates of all 4 atoms:
Be 0.500 0.000 0.500
Be 0.000 0.000 0.000
Pt 0.500 0.500 0.000
Ni 0.000 0.500 0.500

Calculated values
Total moment   0.00 Bohr magnetons per cell
V   41.5 Å³/cell
DFT formation energy   -59 kJ/mol of atoms



# 23
## Be2NiPt (PBE)

Data for crystalline Be2NiPt at its relaxed geometry.

abc: 7.282 7.282 7.282
angles: 21.30 21.30 21.30
Fractional coordinates of all 4 atoms:
Be 0.995 0.995 0.995
Be 0.505 0.505 0.505
Pt 0.750 0.750 0.750
Ni 0.250 0.250 0.250

Calculated values
Total moment   0.00 Bohr magnetons per cell
V   44.6 Å³/cell
DFT formation energy   -24 kJ/mol of atoms



# 24
## BeNi4Pt (PBE)

Data for crystalline BeNi4Pt at its relaxed geometry.

abc: 4.638 4.638 4.638
angles: 60.00 60.00 60.00
Fractional coordinates of all 6 atoms:
Pt 0.250 0.250 0.250
Ni 0.625 0.125 0.625
Ni 0.625 0.625 0.125
Ni 0.625 0.625 0.625
Ni 0.125 0.625 0.625
Be 0.000 0.000 0.000

Calculated values
Total moment   0.00 Bohr magnetons per cell
V   70.5 Å³/cell
DFT formation energy   6 kJ/mol of atoms



# 25
## BeNiPt2 (PBE)

Data for crystalline BeNiPt2 at its relaxed geometry.

abc: 4.793 4.793 4.793
angles: 143.99 125.62 66.97
Fractional coordinates of all 4 atoms:
Ni 0.250 0.750 0.500
Pt 0.967 0.967 0.000
Pt 0.533 0.533 0.000
Be 0.750 0.250 0.500

Calculated values
Total moment   0.41 Bohr magnetons per cell
V   51.9 Å³/cell
DFT formation energy   -25 kJ/mol of atoms